(1)
Entry from Alexandria via LeMat-Bulk: crystalline AlAs2N at its relaxed geometry (GGA-PBE).

```
data_AlAs2N
_cell_length_a 6.225
_cell_length_b 6.225
_cell_length_c 6.225
_cell_angle_alpha 90.00
_cell_angle_beta 90.00
_cell_angle_gamma 90.00
_symmetry_space_group_name_H-M 'F m -3 m'
_symmetry_Int_Tables_number 225
_symmetry_space_group_name_Hall '-F 4 2 3'
loop_
_atom_site_label
_atom_site_fract_x
_atom_site_fract_y
_atom_site_fract_z
_atom_site_occupancy
Al1 0.000 0.000 0.000 1
As1 0.250 0.250 0.250 1
N1 0.000 0.000 0.500 1
```

The calculated volume comes out at 241 Å³/cell. As for the electronic total energy: -4.244 eV per atom. The calculation puts the uncorrected formation energy at 1.098 eV per atom. Its magnetic moment is 2.73 μB/cell. Its distance to the lowest polymorph of the same formula is 616 meV/atom.

(2)
Entry from Alexandria via LeMat-Bulk: crystalline Al2AsN at its relaxed geometry (GGA-PBE).

```
data_Al2AsN
_cell_length_a 6.050
_cell_length_b 6.050
_cell_length_c 6.050
_cell_angle_alpha 90.00
_cell_angle_beta 90.00
_cell_angle_gamma 90.00
_symmetry_space_group_name_H-M 'F m -3 m'
_symmetry_Int_Tables_number 225
_symmetry_space_group_name_Hall '-F 4 2 3'
loop_
_atom_site_label
_atom_site_fract_x
_atom_site_fract_y
_atom_site_fract_z
_atom_site_occupancy
Al1 0.250 0.250 0.250 1
As1 0.000 0.000 0.000 1
N1 0.000 0.000 0.500 1
```

The calculated volume comes out at 221 Å³/cell. As for the electronic total energy: -4.430 eV per atom. The calculation puts the uncorrected formation energy at 0.685 eV per atom. Its magnetic moment is 0.11 μB/cell. Its distance to the lowest polymorph of the same formula is 1415 meV/atom.

(3)
Entry from Alexandria via LeMat-Bulk: crystalline Al2AsN at its relaxed geometry (GGA-PBE).

```
data_Al2AsN
_cell_length_a 5.084
_cell_length_b 5.084
_cell_length_c 9.774
_cell_angle_alpha 90.00
_cell_angle_beta 90.00
_cell_angle_gamma 90.00
_symmetry_space_group_name_H-M 'I -4 2 d'
_symmetry_Int_Tables_number 122
_symmetry_space_group_name_Hall 'I -4 2bw'
loop_
_atom_site_label
_atom_site_fract_x
_atom_site_fract_y
_atom_site_fract_z
_atom_site_occupancy
Al1 0.167 0.250 0.125 1
As1 0.000 0.000 0.500 1
N1 0.000 0.000 0.000 1
```

The calculated volume comes out at 253 Å³/cell. As for the electronic total energy: -5.845 eV per atom. The calculation puts the uncorrected formation energy at -0.730 eV per atom. Its magnetic moment is 0.00 μB/cell. Its distance to the lowest polymorph of the same formula is 0 meV/atom.

- Number 2 is which compound?
  Al2AsN

- Which of these has the highest electronic total energy?
  AlAs2N